(1)
Material: LiPaPt4
Method: DFT, PBE
State: relaxed

The structure in POSCAR format:
```
LiPaPt4
1.0
-2.903 2.169 4.277
-0.590 -5.129 2.184
7.853 2.350 0.481
Li Pa Pt
2 2 8
Direct
0.750 0.750 0.000
0.250 0.250 0.000
0.500 0.000 0.500
0.000 0.500 0.500
0.613 0.613 0.226
0.613 0.113 0.226
0.113 0.613 0.226
0.113 0.113 0.226
0.387 0.887 0.774
0.387 0.387 0.774
0.887 0.887 0.774
0.887 0.387 0.774
```

Computed properties:
Density of states at the Fermi level (states/eV/f.u.): 2.76
Formation energy (meV/atom): -689
Calculated density (g cm⁻³): 14.951
E above lowest polymorph (meV per atom): 139



(2)
Material: Li2Pa3Pt8
Method: DFT, PBE
State: relaxed

The structure in POSCAR format:
```
Li2Pa3Pt8
1.0
-2.155 -1.778 4.733
3.089 -2.882 3.516
3.090 6.791 7.149
Li Pa Pt
2 3 8
Direct
0.606 0.606 0.183
0.394 0.394 0.817
0.000 0.000 0.000
0.773 0.773 0.680
0.227 0.227 0.320
0.684 0.684 0.948
0.316 0.316 0.052
0.202 0.709 0.380
0.709 0.202 0.380
0.709 0.709 0.380
0.291 0.798 0.620
0.798 0.291 0.620
0.291 0.291 0.620
```

Computed properties:
Density of states at the Fermi level (states/eV/f.u.): 10.41
Formation energy (meV/atom): -636
Calculated density (g cm⁻³): 14.636



(3)
Material: Li5Pa4Pt6
Method: DFT, PBE
State: relaxed

The structure in POSCAR format:
```
Li5Pa4Pt6
1.0
-1.620 -1.064 3.486
10.347 -0.861 2.265
0.201 13.463 4.200
Li Pa Pt
10 8 12
Direct
0.454 0.909 0.669
0.546 0.091 0.169
0.183 0.367 0.623
0.817 0.633 0.123
0.661 0.323 0.487
0.339 0.677 0.987
0.313 0.626 0.617
0.687 0.374 0.117
0.312 0.625 0.253
0.688 0.375 0.753
0.953 0.905 0.276
0.047 0.095 0.776
0.139 0.277 0.295
0.861 0.723 0.795
0.827 0.655 0.443
0.173 0.345 0.943
0.026 0.052 0.515
0.974 0.948 0.015
0.733 0.467 0.291
0.423 0.846 0.433
0.762 0.524 0.944
0.238 0.476 0.444
0.448 0.895 0.865
0.552 0.105 0.365
0.421 0.841 0.139
0.579 0.159 0.639
0.100 0.199 0.107
0.900 0.801 0.607
0.577 0.154 0.933
0.267 0.533 0.791
```

Computed properties:
Density of states at the Fermi level (states/eV/f.u.): 15.78
Formation energy (meV/atom): -653
Calculated density (g cm⁻³): 12.042



(4)
Material: Li2PaPt8
Method: DFT, PBE
State: relaxed

The structure in POSCAR format:
```
Li2PaPt8
1.0
3.883 0.000 -1.174
-0.550 6.054 -1.820
0.156 0.019 7.526
Li Pa Pt
2 1 8
Direct
0.227 0.643 0.454
0.773 0.357 0.546
0.500 0.000 0.000
0.595 0.458 0.190
0.315 0.077 0.630
0.141 0.194 0.281
0.051 0.722 0.102
0.859 0.806 0.719
0.685 0.923 0.370
0.405 0.542 0.810
0.949 0.278 0.898
```

Computed properties:
Density of states at the Fermi level (states/eV/f.u.): 6.69
Formation energy (meV/atom): -604
Calculated density (g cm⁻³): 16.829



(5)
Material: LiPaRuPt
Method: DFT, PBE
State: relaxed

The structure in POSCAR format:
```
LiPaRuPt
1.0
4.642 0.000 0.000
2.321 4.020 0.000
2.321 1.340 3.790
Ru Pa Pt Li
1 1 1 1
Direct
0.250 0.250 0.250
0.000 0.000 0.000
0.750 0.750 0.750
0.500 0.500 0.500
```

Computed properties:
Density of states at the Fermi level (states/eV/f.u.): 2.82
Formation energy (meV/atom): -517
Calculated density (g cm⁻³): 12.543
E above lowest polymorph (meV per atom): 182



(6)
Material: LiPaRuPt
Method: DFT, PBE
State: relaxed

The structure in POSCAR format:
```
LiPaRuPt
1.0
-3.024 -2.114 0.678
2.258 -2.581 2.025
-0.769 2.323 3.818
Li Pa Ru Pt
1 1 1 1
Direct
0.500 0.000 0.500
0.500 0.500 0.000
0.000 0.000 0.000
0.000 0.500 0.500
```

Computed properties:
Density of states at the Fermi level (states/eV/f.u.): 1.25
Formation energy (meV/atom): -698
Calculated density (g cm⁻³): 13.088
E above lowest polymorph (meV per atom): 0



(7)
Material: LiPaSi2Pt2
Method: DFT, PBE
State: relaxed

The structure in POSCAR format:
```
LiPaSi2Pt2
1.0
-0.012 -4.100 -1.103
3.266 1.599 2.192
-2.981 -1.475 5.518
Li Pa Si Pt
1 1 2 2
Direct
0.000 0.000 0.500
0.000 0.000 0.000
0.667 0.333 0.691
0.333 0.667 0.309
0.667 0.333 0.282
0.333 0.667 0.718
```

Computed properties:
Density of states at the Fermi level (states/eV/f.u.): 4.09
Calculated density (g cm⁻³): 11.299
Raw total energy (eV per formula unit): -39.6



(8)
Material: LiPa2Si4Pt3
Method: DFT, PBE
State: relaxed

The structure in POSCAR format:
```
LiPa2Si4Pt3
1.0
4.181 0.000 0.000
0.000 4.181 0.000
0.000 0.000 9.859
Li Pa Si Pt
1 2 4 3
Direct
0.500 0.500 0.500
0.500 0.000 0.253
0.000 0.500 0.747
0.500 0.500 0.000
0.000 0.000 0.000
0.500 0.000 0.634
0.000 0.500 0.366
0.000 0.000 0.500
0.500 0.000 0.878
0.000 0.500 0.122
```

Computed properties:
Density of states at the Fermi level (states/eV/f.u.): 3.72
Calculated density (g cm⁻³): 11.240
Raw total energy (eV per formula unit): -69.4



(9)
Material: LiTbPaPt
Method: DFT, PBE
State: relaxed

The structure in POSCAR format:
```
LiTbPaPt
1.0
-3.596 0.291 -3.443
-0.288 -3.438 -3.602
-3.731 -3.310 0.005
Pa Tb Pt Li
1 1 1 1
Direct
0.000 0.000 0.000
0.500 0.500 0.500
0.750 0.750 0.750
0.250 0.250 0.250
```

Computed properties:
Density of states at the Fermi level (states/eV/f.u.): 7.25
Formation energy (meV/atom): -277
Calculated density (g cm⁻³): 11.206



(10)
Material: LiPaTlPt
Method: DFT, PBE
State: relaxed

The structure in POSCAR format:
```
LiPaTlPt
1.0
-2.265 -1.028 -4.162
2.383 -2.269 -3.561
-1.085 -4.596 -1.098
Tl Pa Pt Li
1 1 1 1
Direct
0.500 0.500 0.500
0.000 0.000 0.000
0.750 0.750 0.750
0.250 0.250 0.250
```

Computed properties:
Density of states at the Fermi level (states/eV/f.u.): 3.71
Formation energy (meV/atom): -337
Calculated density (g cm⁻³): 13.134



(11)
Material: LiYPaPt
Method: DFT, PBE
State: relaxed

The structure in POSCAR format:
```
LiYPaPt
1.0
-4.925 -0.779 0.175
-2.227 -2.696 -3.559
-1.770 -4.544 1.053
Y Pa Pt Li
1 1 1 1
Direct
0.000 0.000 0.000
0.500 0.500 0.500
0.750 0.750 0.750
0.250 0.250 0.250
```

Computed properties:
Density of states at the Fermi level (states/eV/f.u.): 7.40
Formation energy (meV/atom): -280
Calculated density (g cm⁻³): 9.872



(12)
Material: LiPu2Pa
Method: DFT, PBE
State: relaxed

The structure in POSCAR format:
```
LiPu2Pa
1.0
3.323 0.000 0.000
0.000 3.323 0.000
0.000 0.000 8.728
Pa Li Pu
1 1 2
Direct
0.500 0.500 0.000
0.500 0.500 0.500
0.000 0.000 0.764
0.000 0.000 0.236
```

Computed properties:
Density of states at the Fermi level (states/eV/f.u.): 11.21
Formation energy (meV/atom): 198
Calculated density (g cm⁻³): 12.507